Cd8AgAu5 | GGA-PBE | optimized geometry

Lattice parameters (Å, degrees): 7.2859 7.2859 7.2859 109.42 109.58 109.42
Positions (direct):
1 Au 0.3656 0.1185 0.9918
2 Au 0.8733 0.8815 0.2471
3 Au 0.0082 0.3738 0.1267
4 Au 0.7529 0.6262 0.6344
5 Au 0.5000 0.0000 0.5000
6 Ag 0.2500 0.5000 0.7500
7 Cd 0.4710 0.5893 0.2187
8 Cd 0.7813 0.2523 0.3706
9 Cd 0.6294 0.4107 0.8817
10 Cd 0.6220 0.9150 0.8728
11 Cd 0.1272 0.7492 0.0422
12 Cd 0.2930 0.2508 0.3780
13 Cd 0.1183 0.7477 0.5290
14 Cd 0.9578 0.0850 0.7070

## Properties
As for the electronic total energy: -1.994 eV/atom. The calculation puts the formation energy at -0.10 eV/atom. The value obtained for the density of states at the Fermi level is 0.28 states/eV per atom. The total magnetization is 0.000 μB per atom.